{"formula": "GaPd3S", "functional": "PBE-GGA", "state": "optimized geometry", "lattice_angstrom": [[-3.056, -2.640, -5.471], [4.732, -5.237, -0.143], [-2.808, -5.094, 4.001]], "species": ["Ga", "Ga", "Ga", "Ga", "Pd", "Pd", "Pd", "Pd", "Pd", "Pd", "Pd", "Pd", "Pd", "Pd", "Pd", "Pd", "S", "S", "S", "S"], "frac_coords": [[0.750, 0.640, 0.360], [0.750, 0.039, 0.961], [0.250, 0.360, 0.640], [0.250, 0.961, 0.039], [0.501, 0.362, 0.361], [0.499, 0.638, 0.639], [0.042, 0.036, 0.713], [0.458, 0.287, 0.964], [0.958, 0.710, 0.036], [0.458, 0.036, 0.710], [0.542, 0.964, 0.290], [0.042, 0.290, 0.964], [0.958, 0.964, 0.287], [0.999, 0.639, 0.638], [0.001, 0.361, 0.362], [0.542, 0.713, 0.036], [0.751, 0.127, 0.492], [0.749, 0.508, 0.873], [0.251, 0.492, 0.127], [0.249, 0.873, 0.508]], "magnetic_moment_mub_per_fu": 0.0, "sg": "No. 15", "formation_energy_uncorrected_kj_per_mol_fu": -181, "polymorph_energy_mev_per_atom": 0}